A relaxed structure of Cs2Dy2Se3S, computed with PBE-GGA.

abc: 4.2169 4.2169 16.5797
angles: 90.00 90.00 120.00
Space group P3m1 (No. 156)
Symmetry-distinct sites (fractional):
1 Cs 0.0000 0.0000 0.0000 (multiplicity 1)
2 Cs 0.3333 0.6667 0.4920 (multiplicity 1)
3 Dy 0.6667 0.3333 0.2389 (multiplicity 1)
4 Dy 0.6667 0.3333 0.7458 (multiplicity 1)
5 Se 0.0000 0.0000 0.3345 (multiplicity 1)
6 Se 0.0000 0.0000 0.6511 (multiplicity 1)
7 Se 0.3333 0.6667 0.8406 (multiplicity 1)
8 S 0.3333 0.6667 0.1541 (multiplicity 1)

## Properties
* total DFT energy (no corrections): -4.938 eV per atom



A relaxed structure of CsDySeS, computed with PBE-GGA.

abc: 4.1758 4.1758 16.4070
angles: 90.00 90.00 120.00
Space group P6_3mc (No. 186)
Symmetry-distinct sites (fractional):
1 Cs 0.3333 0.6667 0.0000 (multiplicity 2)
2 Dy 0.0000 0.0000 0.2427 (multiplicity 2)
3 Se 0.3333 0.6667 0.3403 (multiplicity 2)
4 S 0.3333 0.6667 0.6562 (multiplicity 2)

## Properties
* total DFT energy (no corrections): -5.044 eV per atom



A relaxed structure of CsSmDyS3, computed with PBE-GGA.

abc: 4.482 15.919 11.036
angles: 90.00 90.00 90.00
Space group Cmcm (No. 63)
Symmetry-distinct sites (fractional):
1 Cs 0.000 0.236 0.250 (multiplicity 4)
2 Sm 0.000 0.500 0.000 (multiplicity 4)
3 Dy 0.000 0.030 0.750 (multiplicity 4)
4 S 0.000 0.112 0.549 (multiplicity 8)
5 S 0.000 0.446 0.750 (multiplicity 4)

## Properties
* total DFT energy (no corrections): -5.435 eV per atom



A relaxed structure of CsDySnS3, computed with PBE-GGA.

abc: 3.984 17.650 11.435
angles: 90.00 90.00 90.00
Space group Cmcm (No. 63)
Symmetry-distinct sites (fractional):
1 Cs 0.000 0.188 0.250 (multiplicity 4)
2 Dy 0.000 0.500 0.000 (multiplicity 4)
3 Sn 0.000 0.109 0.750 (multiplicity 4)
4 S 0.000 0.104 0.507 (multiplicity 8)
5 S 0.000 0.491 0.250 (multiplicity 4)

## Properties
* energy above the most stable polymorph in this dataset: 0.61 eV/f.u.



A relaxed structure of CsDySnS3, computed with PBE-GGA.

abc: 16.161 4.065 11.897
angles: 90.00 90.00 90.00
Space group Pnma (No. 62)
Symmetry-distinct sites (fractional):
1 Cs 0.235 0.250 0.086 (multiplicity 4)
2 Dy 0.005 0.750 0.641 (multiplicity 4)
3 Sn 0.040 0.250 0.904 (multiplicity 4)
4 S 0.076 0.750 0.238 (multiplicity 4)
5 S 0.092 0.250 0.542 (multiplicity 4)
6 S 0.123 0.750 0.815 (multiplicity 4)

## Properties
* energy above the most stable polymorph in this dataset: 0.00 eV/f.u.



A relaxed structure of Cs2TbDyS4, computed with PBE-GGA.

abc: 4.0981 4.0981 16.1467
angles: 90.00 90.00 120.00
Space group P-3m1 (No. 164)
Symmetry-distinct sites (fractional):
1 Cs 0.3333 0.6667 0.2500 (multiplicity 2)
2 Tb 0.0000 0.0000 0.5000 (multiplicity 1)
3 Dy 0.0000 0.0000 0.0000 (multiplicity 1)
4 S 0.3333 0.6667 0.5913 (multiplicity 2)
5 S 0.3333 0.6667 0.9089 (multiplicity 2)

## Properties
* total DFT energy (no corrections): -5.267 eV per atom



A relaxed structure of Cs2DyYS4, computed with PBE-GGA.

abc: 4.0921 4.0921 16.1315
angles: 90.00 90.00 120.00
Space group P-3m1 (No. 164)
Symmetry-distinct sites (fractional):
1 Cs 0.3333 0.6667 0.2500 (multiplicity 2)
2 Dy 0.0000 0.0000 0.0000 (multiplicity 1)
3 Y 0.0000 0.0000 0.5000 (multiplicity 1)
4 S 0.3333 0.6667 0.5912 (multiplicity 2)
5 S 0.3333 0.6667 0.9089 (multiplicity 2)

## Properties
* total DFT energy (no corrections): -5.498 eV per atom



A relaxed structure of CsDySb, computed with PBE-GGA.

abc: 7.878 7.878 7.878
angles: 90.00 90.00 90.00
Space group F-43m (No. 216)
Symmetry-distinct sites (fractional):
1 Cs 0.000 0.000 0.000 (multiplicity 4)
2 Dy 0.250 0.250 0.250 (multiplicity 4)
3 Sb 0.250 0.250 0.750 (multiplicity 4)

## Properties
* total DFT energy (no corrections): -2.534 eV per atom